(1)
## YEr4Te2 (GGA-PBE)

Data for crystalline YEr4Te2 at its relaxed geometry.

Lattice parameters (Å, degrees): 5.4023 5.4023 9.3334 73.18 73.18 60.00
Last column: nearest neighbours and their distance in Å.
Element x y z (fractional)
Y 0.5000 0.5000 0.5000  2 Te 3.11, 6 Er 3.24
Er 0.2642 0.2642 0.2074  4 Te 3.11-3.17, 1 Er 3.44
Er 0.7358 0.7358 0.7926  4 Te 3.11-3.17, 1 Er 3.44
Er 0.8661 0.8661 0.4017  3 Y 3.24, 7 Er 3.44-3.57
Er 0.1339 0.1339 0.5983  3 Y 3.24, 7 Er 3.44-3.57
Te 0.3821 0.3821 0.8538  4 Er 3.11-3.17, 1 Y 3.11
Te 0.6179 0.6179 0.1462  4 Er 3.11-3.17, 1 Y 3.11

Output
**Crystal system**: trigonal
**Energy relative to the elements, uncorrected**: -0.473 eV per atom
**M_tot**: 0.00 μB/cell

(2)
## Y2ErTe (GGA-PBE)

Data for crystalline Y2ErTe at its relaxed geometry.

Lattice parameters (Å, degrees): 3.8886 3.8886 9.9546 78.74 78.74 60.00
Last column: nearest neighbours and their distance in Å.
Element x y z (fractional)
Te 0.6666 0.6666 0.0000  6 Y 3.08
Y 0.2609 0.2609 0.2172  3 Te 3.08
Y 0.0726 0.0726 0.7821  3 Te 3.08
Er 0.4998 0.4998 0.5007  6 Y 3.53-3.55, 6 Er 3.89

Output
**Distance to the lowest polymorph of the same formula**: 44.8 kJ/mol of formula units
**Crystal system**: trigonal
**Energy relative to the elements, uncorrected**: -0.550 eV per atom
**M_tot**: 0.06 μB/cell

(3)
## Y2ErTe3 (GGA-PBE)

Data for crystalline Y2ErTe3 at its relaxed geometry.

Lattice parameters (Å, degrees): 4.3800 6.1296 7.5178 114.06 106.94 90.00
Last column: nearest neighbours and their distance in Å.
Element x y z (fractional)
Te 0.8370 0.3370 0.1739  2 Er 3.05, 4 Y 3.07
Te 0.1630 0.6630 0.8261  2 Er 3.05, 4 Y 3.07
Te 0.5000 0.0000 0.5000  2 Er 3.06, 4 Y 3.12
Y 0.1711 0.1711 0.8422  6 Te 3.07-3.12
Y 0.8289 0.8289 0.1578  6 Te 3.07-3.12
Er 0.5000 0.5000 0.5000  6 Te 3.05-3.06

Output
**Distance to the lowest polymorph of the same formula**: 14.1 kJ/mol of formula units
**Crystal system**: orthorhombic
**Energy relative to the elements, uncorrected**: -1.276 eV per atom
**M_tot**: 0.00 μB/cell

Please write out number 1 again, unchanged.
## YEr4Te2 (GGA-PBE)

Data for crystalline YEr4Te2 at its relaxed geometry.

Lattice parameters (Å, degrees): 5.4023 5.4023 9.3334 73.18 73.18 60.00
Last column: nearest neighbours and their distance in Å.
Element x y z (fractional)
Y 0.5000 0.5000 0.5000  2 Te 3.11, 6 Er 3.24
Er 0.2642 0.2642 0.2074  4 Te 3.11-3.17, 1 Er 3.44
Er 0.7358 0.7358 0.7926  4 Te 3.11-3.17, 1 Er 3.44
Er 0.8661 0.8661 0.4017  3 Y 3.24, 7 Er 3.44-3.57
Er 0.1339 0.1339 0.5983  3 Y 3.24, 7 Er 3.44-3.57
Te 0.3821 0.3821 0.8538  4 Er 3.11-3.17, 1 Y 3.11
Te 0.6179 0.6179 0.1462  4 Er 3.11-3.17, 1 Y 3.11

Output
**Crystal system**: trigonal
**Energy relative to the elements, uncorrected**: -0.473 eV per atom
**M_tot**: 0.00 μB/cell

Question: Number 2 is which compound?
Answer: Y2ErTe

Question: M_tot of number 3 (Y2ErTe3)?
Answer: 0.00 μB/cell